PBE with a Hubbard U Li2TlCrF6, relaxed; total energy = -5.148 eV/atom; total magnetic moment = 3.00 μB/f.u.; V = 13.9 Å³/atom
1.0
4.249 -5.314 0.000
4.249 5.314 0.000
-0.006 0.000 6.165
Li Tl Cr F
4 2 2 12
direct
0.050 0.253 0.177
0.253 0.050 0.677
0.747 0.950 0.323
0.950 0.747 0.823
0.406 0.594 0.750
0.594 0.406 0.250
0.192 0.808 0.250
0.808 0.192 0.750
0.095 0.219 0.817
0.133 0.766 0.557
0.177 0.525 0.183
0.219 0.095 0.317
0.234 0.867 0.943
0.475 0.823 0.317
0.525 0.177 0.683
0.766 0.133 0.057
0.781 0.905 0.683
0.823 0.475 0.817
0.867 0.234 0.443
0.905 0.781 0.183